TlCd2NiF8 PBE+U relaxed; crystal system = monoclinic; DOS(E_F) = 2.99 states/eV/cell; electronic total energy = -46.25 eV per formula unit
1.0
5.002 -0.033 -0.003
0.016 5.208 -0.006
0.004 0.008 7.093
Tl Cd Ni F
1 2 1 8
Direct
0.000 0.000 0.500
0.500 0.500 0.765
0.500 0.500 0.235
0.000 0.000 0.000
0.819 0.804 0.216
0.293 0.722 0.000
0.181 0.196 0.216
0.181 0.196 0.784
0.707 0.278 0.000
0.819 0.804 0.784
0.336 0.695 0.500
0.664 0.305 0.500